Entry 1:
Entry from Alexandria: CaMgIr2 after structural relaxation (GGA-PBE).

Unit cell a=4.3214 b=2.9001 c=5.8790 alpha=76.05 beta=90.00 gamma=90.00
With the nearest neighbours (Å) after each atom.
Positions (direct):
Ir1 0.0000 0.4306 0.4549  2 Mg 2.59, 2 Ir 2.66-2.85
Ir2 0.0000 0.0694 0.0451  2 Mg 2.59, 2 Ir 2.66-2.85
Ca1 0.5000 0.7500 0.7500  2 Ca 2.90, 2 Mg 2.95, 8 Ir 3.05-3.15
Mg1 0.5000 0.2500 0.2500  4 Ir 2.59

Computed properties:
**Space group**: P2/m
**Crystal system**: monoclinic

---

Entry 2:
Entry from Alexandria: AcTmRh after structural relaxation (GGA-PBE).

Unit cell a=5.0138 b=5.0138 c=5.0138 alpha=60.00 beta=60.00 gamma=60.00
With the nearest neighbours (Å) after each atom.
Positions (direct):
Ac1 0.0000 0.0000 0.0000  4 Rh 3.07
Rh1 0.2500 0.2500 0.2500  4 Tm 3.07, 4 Ac 3.07
Tm1 0.5000 0.5000 0.5000  4 Rh 3.07

Computed properties:
**Space group**: F-43m
**Crystal system**: cubic
**E above lowest polymorph**: 0.123 eV per atom

---

Entry 3:
Entry from Alexandria: CeCo2Ge after structural relaxation (GGA-PBE).

Unit cell a=4.1879 b=4.1879 c=4.9790 alpha=65.13 beta=65.13 gamma=60.00
With the nearest neighbours (Å) after each atom.
Positions (direct):
Co1 0.3035 0.3035 0.0896  3 Ge 2.45, 3 Co 2.54, 1 Ce 2.57
Co2 0.6965 0.6965 0.9104  3 Ge 2.45, 3 Co 2.54, 1 Ce 2.57
Ge1 0.0000 0.0000 0.0000  6 Co 2.45
Ce1 0.5000 0.5000 0.5000  2 Co 2.57

Computed properties:
**Space group**: R-3m
**Crystal system**: trigonal
**E above lowest polymorph**: 0.010 eV per atom

---

Entry 4:
Entry from Alexandria: CsRb2BaSc after structural relaxation (GGA-PBE).

Unit cell a=7.6547 b=6.8790 c=7.6547 alpha=90.00 beta=90.00 gamma=90.00
With the nearest neighbours (Å) after each atom.
Positions (direct):
Rb1 0.0000 0.0000 0.5000  2 Sc 3.83
Rb2 0.5000 0.0000 0.0000  2 Sc 3.83
Cs1 0.5000 0.5000 0.5000  8 Rb 5.15, 4 Ba 5.41
Ba1 0.0000 0.5000 0.0000  2 Sc 3.44
Sc1 0.0000 0.0000 0.0000  2 Ba 3.44, 4 Rb 3.83

Computed properties:
**Space group**: P4/mmm
**Crystal system**: tetragonal

---

no.,DFT formation energy (eV/atom)
1,-0.123
2,-0.444
3,-0.427
4,0.568